Computed, not measured: a relaxed structure of KZn at the GGA-PBE level of DFT.

Properties
Electronic total energy: -0.888 eV per atom
Formation energy from the elements: 0.298 eV/atom
DOS(E_F): 0.8142 states/eV per atom

Cell lengths 4.3021, 4.3021, 5.0244 Å; angles 90.00, 90.00, 120.00 degrees
With the nearest neighbours (Å) after each atom.
Element x y z (fractional)
1 K 0.0000 0.0000 0.0000  6 Zn 3.53
2 Zn 0.6667 0.3333 0.5000  6 K 3.53

=====

Computed, not measured: a relaxed structure of KZn at the GGA-PBE level of DFT.

Properties
Electronic total energy: -0.875 eV per atom
Formation energy from the elements: 0.310 eV/atom
DOS(E_F): 1.1478 states/eV per atom

Cell lengths 7.0168, 7.0168, 7.0168 Å; angles 90.00, 90.00, 90.00 degrees
With the nearest neighbours (Å) after each atom.
Element x y z (fractional)
1 K 0.0000 0.0000 0.0000  6 Zn 3.51
2 K 0.0000 0.5000 0.5000  6 Zn 3.51
3 K 0.5000 0.0000 0.5000  6 Zn 3.51
4 K 0.5000 0.5000 0.0000  6 Zn 3.51
5 Zn 0.5000 0.5000 0.5000  6 K 3.51
6 Zn 0.5000 0.0000 0.0000  6 K 3.51
7 Zn 0.0000 0.5000 0.0000  6 K 3.51
8 Zn 0.0000 0.0000 0.5000  6 K 3.51

=====

Computed, not measured: a relaxed structure of KZr2Zn at the GGA-PBE level of DFT.

Properties
Electronic total energy: -4.244 eV per atom
Formation energy from the elements: 0.623 eV/atom
DOS(E_F): 0.9962 states/eV per atom

Cell lengths 5.4699, 6.7480, 3.0574 Å; angles 77.37, 88.88, 113.63 degrees
With the nearest neighbours (Å) after each atom.
Element x y z (fractional)
1 K 0.0000 0.5000 0.5000  2 K 3.06, 4 Zn 3.11-3.16, 4 Zr 3.39
2 Zn 0.5000 0.5000 0.0000  2 Zn 3.06, 4 K 3.11-3.16, 4 Zr 3.39
3 Zr 0.0000 0.0000 0.0000  6 Zr 3.06-3.16, 2 K 3.39, 2 Zn 3.39
4 Zr 0.5000 0.0000 0.5000  6 Zr 3.06-3.16, 2 Zn 3.39, 2 K 3.39

=====

Computed, not measured: a relaxed structure of K2ZrZn at the GGA-PBE level of DFT.

Properties
Electronic total energy: -2.308 eV per atom
Formation energy from the elements: 0.697 eV/atom
DOS(E_F): 1.2192 states/eV per atom

Cell lengths 3.2648, 3.2648, 11.9906 Å; angles 90.00, 90.00, 90.00 degrees
With the nearest neighbours (Å) after each atom.
Element x y z (fractional)
1 K 0.0000 0.0000 0.0226  4 K 3.26, 4 Zn 3.57
2 K 0.0000 0.0000 0.4774  4 K 3.26, 4 Zn 3.57
3 Zn 0.5000 0.5000 0.2500  4 Zn 3.26, 8 K 3.57
4 Zr 0.5000 0.5000 0.7500  4 Zr 3.26

=====

Computed, not measured: a relaxed structure of K2ZrZn at the GGA-PBE level of DFT.

Properties
Electronic total energy: -2.238 eV per atom
Formation energy from the elements: 0.766 eV/atom
DOS(E_F): 0.6759 states/eV per atom

Cell lengths 6.9829, 6.9829, 6.9829 Å; angles 143.25, 143.25, 52.95 degrees
With the nearest neighbours (Å) after each atom.
Element x y z (fractional)
1 K 0.0000 0.0000 0.0000  4 K 3.11
2 K 0.5000 0.5000 0.0000  4 K 3.11
3 Zn 0.2500 0.7500 0.5000  4 Zr 3.11
4 Zr 0.7500 0.2500 0.5000  4 Zn 3.11

=====

Computed, not measured: a relaxed structure of K2ZrZn at the GGA-PBE level of DFT.

Properties
Electronic total energy: -2.219 eV per atom
Formation energy from the elements: 0.785 eV/atom
DOS(E_F): 1.1066 states/eV per atom

Cell lengths 6.9889, 6.9889, 3.1341 Å; angles 90.00, 90.00, 123.77 degrees
With the nearest neighbours (Å) after each atom.
Element x y z (fractional)
1 K 0.0000 0.0000 0.0000  4 K 3.13-3.29
2 K 0.5000 0.5000 0.0000  4 K 3.13-3.29
3 Zn 0.5000 0.0000 0.5000  2 Zn 3.13, 2 Zr 3.29
4 Zr 0.0000 0.5000 0.5000  2 Zr 3.13, 2 Zn 3.29

=====

Computed, not measured: a relaxed structure of KZrZn at the GGA-PBE level of DFT.

Properties
Electronic total energy: -2.911 eV per atom
Formation energy from the elements: 0.728 eV/atom
DOS(E_F): 0.7279 states/eV per atom

Cell lengths 5.4458, 5.4458, 2.8074 Å; angles 90.00, 90.00, 120.00 degrees
With the nearest neighbours (Å) after each atom.
Element x y z (fractional)
1 K 0.0000 0.0000 0.8335  2 K 2.81, 3 Zr 3.14
2 Zn 0.6667 0.3333 0.3333  2 Zn 2.81
3 Zr 0.3333 0.6667 0.8332  2 Zr 2.81, 3 K 3.14

=====

Computed, not measured: a relaxed structure of KZrZn at the GGA-PBE level of DFT.

Properties
Electronic total energy: -3.316 eV per atom
Formation energy from the elements: 0.324 eV/atom
DOS(E_F): 0.5770 states/eV per atom

Cell lengths 7.8599, 7.8595, 3.3843 Å; angles 77.57, 77.56, 24.87 degrees
With the nearest neighbours (Å) after each atom.
Element x y z (fractional)
1 K 0.9833 0.9833 0.0167  4 K 3.38, 4 Zn 3.58
2 Zn 0.3053 0.3053 0.6947  4 Zr 2.78
3 Zr 0.7114 0.7114 0.2886  4 Zn 2.78

=====

Computed, not measured: a relaxed structure of KZr2Zn at the GGA-PBE level of DFT.

Properties
Electronic total energy: -4.042 eV per atom
Formation energy from the elements: 0.825 eV/atom
DOS(E_F): 0.7591 states/eV per atom

Cell lengths 5.2189, 5.2189, 5.2189 Å; angles 60.00, 60.00, 60.00 degrees
With the nearest neighbours (Å) after each atom.
Element x y z (fractional)
1 K 0.5000 0.5000 0.5000  4 Zn 3.20, 4 Zr 3.20
2 Zn 0.7500 0.7500 0.7500  4 K 3.20, 4 Zr 3.20
3 Zr 0.0000 0.0000 0.0000  4 Zr 3.20, 4 Zn 3.20
4 Zr 0.2500 0.2500 0.2500  4 Zr 3.20, 4 K 3.20

=====

Computed, not measured: a relaxed structure of K2ZrZn at the GGA-PBE level of DFT.

Properties
Electronic total energy: -2.266 eV per atom
Formation energy from the elements: 0.738 eV/atom
DOS(E_F): 0.8425 states/eV per atom

Cell lengths 3.6475, 5.1589, 6.3250 Å; angles 90.00, 90.00, 90.00 degrees
With the nearest neighbours (Å) after each atom.
Element x y z (fractional)
1 K 0.0000 0.0000 0.0000  4 K 3.16
2 K 0.5000 0.5000 0.0000  4 K 3.16
3 Zn 0.5000 0.0000 0.5000  4 Zr 3.16
4 Zr 0.0000 0.5000 0.5000  4 Zn 3.16

=====

Computed, not measured: a relaxed structure of K2ZrZn at the GGA-PBE level of DFT.

Properties
Electronic total energy: -2.486 eV per atom
Formation energy from the elements: 0.518 eV/atom
DOS(E_F): 1.0136 states/eV per atom

Cell lengths 4.7791, 4.7791, 10.3980 Å; angles 86.31, 86.31, 40.73 degrees
With the nearest neighbours (Å) after each atom.
Element x y z (fractional)
1 K 0.9940 0.9940 0.0620  2 K 3.33, 1 Zr 3.66
2 K 0.7717 0.7717 0.6672  2 K 3.33, 3 Zn 3.50-3.51
3 Zn 0.5053 0.5053 0.4350  3 Zr 2.75
4 Zr 0.2290 0.2290 0.3358  3 Zn 2.75

=====

Computed, not measured: a relaxed structure of KZr2Zn at the GGA-PBE level of DFT.

Properties
Electronic total energy: -4.050 eV per atom
Formation energy from the elements: 0.817 eV/atom
DOS(E_F): 1.5164 states/eV per atom

Cell lengths 5.9432, 5.9432, 5.9432 Å; angles 136.63, 136.63, 63.00 degrees
With the nearest neighbours (Å) after each atom.
Element x y z (fractional)
1 K 0.2500 0.7500 0.5000  4 Zn 3.11, 8 Zr 3.35
2 Zn 0.7500 0.2500 0.5000  4 K 3.11, 8 Zr 3.35
3 Zr 0.0000 0.0000 0.0000  4 Zr 3.11, 4 K 3.35, 4 Zn 3.35
4 Zr 0.5000 0.5000 0.0000  4 Zr 3.11, 4 K 3.35, 4 Zn 3.35

=====

Computed, not measured: a relaxed structure of KZr2Zn at the GGA-PBE level of DFT.

Properties
Electronic total energy: -4.246 eV per atom
Formation energy from the elements: 0.621 eV/atom
DOS(E_F): 0.9949 states/eV per atom

Cell lengths 3.1018, 5.3802, 5.9878 Å; angles 90.00, 90.00, 90.00 degrees
With the nearest neighbours (Å) after each atom.
Element x y z (fractional)
1 K 0.5000 0.0000 0.5000  2 K 3.10, 4 Zn 3.11, 4 Zr 3.37
2 Zn 0.0000 0.5000 0.5000  2 Zn 3.10, 4 K 3.11, 4 Zr 3.37
3 Zr 0.0000 0.0000 0.0000  6 Zr 3.10-3.11, 4 K 3.37
4 Zr 0.5000 0.5000 0.0000  6 Zr 3.10-3.11, 4 Zn 3.37

=====

Computed, not measured: a relaxed structure of K2ZrZn at the GGA-PBE level of DFT.

Properties
Electronic total energy: -2.335 eV per atom
Formation energy from the elements: 0.669 eV/atom
DOS(E_F): 1.2868 states/eV per atom

Cell lengths 3.2841, 3.2841, 12.7209 Å; angles 90.00, 90.00, 114.22 degrees
With the nearest neighbours (Å) after each atom.
Element x y z (fractional)
1 K 0.0000 0.0000 0.0172  6 K 3.28-3.57, 2 Zn 3.46
2 K 0.0000 0.0000 0.4828  6 K 3.28-3.57, 2 Zn 3.46
3 Zn 0.5000 0.5000 0.2500  6 Zn 3.28-3.57, 4 K 3.46
4 Zr 0.5000 0.5000 0.7500  6 Zr 3.28-3.57

=====

Computed, not measured: a relaxed structure of K2ZrZn at the GGA-PBE level of DFT.

Properties
Electronic total energy: -2.679 eV per atom
Formation energy from the elements: 0.325 eV/atom
DOS(E_F): 0.6461 states/eV per atom

Cell lengths 3.5631, 3.5631, 11.2701 Å; angles 90.00, 90.00, 90.00 degrees
With the nearest neighbours (Å) after each atom.
Element x y z (fractional)
1 K 0.0000 0.0000 0.9503  4 K 3.56
2 K 0.5000 0.5000 0.3276  4 K 3.56, 4 Zn 3.61, 1 Zr 3.81
3 Zn 0.0000 0.0000 0.5569  4 Zr 2.80
4 Zr 0.5000 0.5000 0.6653  4 Zn 2.80